Record 1
A relaxed structure of CaMn2Re2, computed with PBE. Values from VASP.

Summary:
* formation energy from the elements: 0.326 eV per atom
* energy: -87.2 eV per cell
* SG: P4/mbm, No. 127

Structure (Quantum ESPRESSO input):
```
&SYSTEM
  ibrav = 0, nat = 10, ntyp = 3
/
ATOMIC_SPECIES
Ca 40.08 Ca.upf
Mn 54.94 Mn.upf
Re 186.21 Re.upf
CELL_PARAMETERS angstrom
7.676 0.000 0.000
0.000 7.676 0.000
0.000 0.000 2.661
ATOMIC_POSITIONS crystal
Ca 0.000 0.000 0.000
Ca 0.500 0.500 0.000
Mn 0.160 0.340 0.000
Mn 0.340 0.840 0.000
Mn 0.660 0.160 0.000
Mn 0.840 0.660 0.000
Re 0.131 0.631 0.500
Re 0.369 0.131 0.500
Re 0.631 0.869 0.500
Re 0.869 0.369 0.500
```

=====

Record 2
A relaxed structure of CaMnRe2, computed with PBE. Values from VASP.

Summary:
* formation energy from the elements: 0.635 eV per atom
* energy above the lowest structure with this stoichiometry: 59 kJ/mol of formula units
* energy: -33.5 eV per cell
* SG: P2/m, No. 10

Structure (Quantum ESPRESSO input):
```
&SYSTEM
  ibrav = 0, nat = 4, ntyp = 3
/
ATOMIC_SPECIES
Ca 40.08 Ca.upf
Mn 54.94 Mn.upf
Re 186.21 Re.upf
CELL_PARAMETERS angstrom
2.694 0.000 0.000
0.000 4.747 0.000
-0.731 0.000 5.114
ATOMIC_POSITIONS crystal
Ca 0.000 0.000 0.000
Mn 0.500 0.000 0.500
Re 0.288 0.500 0.746
Re 0.712 0.500 0.254
```

=====

Record 3
A relaxed structure of CaMnRe2, computed with PBE. Values from VASP.

Summary:
* formation energy from the elements: 0.777 eV per atom
* energy above the lowest structure with this stoichiometry: 114 kJ/mol of formula units
* energy: -33.0 eV per cell
* SG: P4/mmm, No. 123

Structure (Quantum ESPRESSO input):
```
&SYSTEM
  ibrav = 0, nat = 4, ntyp = 3
/
ATOMIC_SPECIES
Ca 40.08 Ca.upf
Mn 54.94 Mn.upf
Re 186.21 Re.upf
CELL_PARAMETERS angstrom
3.806 0.000 0.000
0.000 3.806 0.000
0.000 0.000 4.700
ATOMIC_POSITIONS crystal
Ca 0.000 0.000 0.000
Mn 0.500 0.500 0.000
Re 0.000 0.500 0.500
Re 0.500 0.000 0.500
```

=====

Record 4
A relaxed structure of Ca2MnRe, computed with PBE. Values from VASP.

Summary:
* formation energy from the elements: 0.820 eV per atom
* energy above the lowest structure with this stoichiometry: 197 kJ/mol of formula units
* energy: -22.3 eV per cell
* SG: F-43m, No. 216

Structure (Quantum ESPRESSO input):
```
&SYSTEM
  ibrav = 0, nat = 4, ntyp = 3
/
ATOMIC_SPECIES
Ca 40.08 Ca.upf
Mn 54.94 Mn.upf
Re 186.21 Re.upf
CELL_PARAMETERS angstrom
0.000 3.461 3.461
3.461 0.000 3.461
3.461 3.461 0.000
ATOMIC_POSITIONS crystal
Ca 0.000 0.000 0.000
Ca 0.250 0.250 0.250
Mn 0.750 0.750 0.750
Re 0.500 0.500 0.500
```

=====

Record 5
A relaxed structure of CaMnRe2, computed with PBE. Values from VASP.

Summary:
* formation energy from the elements: 0.899 eV per atom
* energy above the lowest structure with this stoichiometry: 161 kJ/mol of formula units
* energy: -64.9 eV per cell
* SG: I-42d, No. 122

Structure (Quantum ESPRESSO input):
```
&SYSTEM
  ibrav = 0, nat = 8, ntyp = 3
/
ATOMIC_SPECIES
Ca 40.08 Ca.upf
Mn 54.94 Mn.upf
Re 186.21 Re.upf
CELL_PARAMETERS angstrom
-3.676 3.676 2.644
3.676 -3.676 2.644
3.676 3.676 -2.644
ATOMIC_POSITIONS crystal
Ca 0.000 0.000 0.000
Ca 0.750 0.250 0.500
Mn 0.250 0.750 0.500
Mn 0.500 0.500 0.000
Re 0.195 0.625 0.070
Re 0.375 0.445 0.570
Re 0.555 0.125 0.930
Re 0.875 0.805 0.430
```

=====

Record 6
A relaxed structure of CaMnRe2, computed with PBE. Values from VASP.

Summary:
* formation energy from the elements: 0.732 eV per atom
* energy above the lowest structure with this stoichiometry: 97 kJ/mol of formula units
* energy: -33.1 eV per cell
* SG: Cmmm, No. 65

Structure (Quantum ESPRESSO input):
```
&SYSTEM
  ibrav = 0, nat = 4, ntyp = 3
/
ATOMIC_SPECIES
Ca 40.08 Ca.upf
Mn 54.94 Mn.upf
Re 186.21 Re.upf
CELL_PARAMETERS angstrom
2.712 -4.717 0.000
2.712 4.717 0.000
0.000 0.000 2.608
ATOMIC_POSITIONS crystal
Ca 0.000 0.000 0.000
Mn 0.500 0.500 0.000
Re 0.000 0.500 0.500
Re 0.500 0.000 0.500
```

=====

Record 7
A relaxed structure of CaMnRe2, computed with PBE. Values from VASP.

Summary:
* formation energy from the elements: 0.653 eV per atom
* energy above the lowest structure with this stoichiometry: 66 kJ/mol of formula units
* energy: -33.5 eV per cell
* SG: Imm2, No. 44

Structure (Quantum ESPRESSO input):
```
&SYSTEM
  ibrav = 0, nat = 4, ntyp = 3
/
ATOMIC_SPECIES
Ca 40.08 Ca.upf
Mn 54.94 Mn.upf
Re 186.21 Re.upf
CELL_PARAMETERS angstrom
-1.582 2.420 4.619
1.582 -2.420 4.619
1.582 2.420 -4.619
ATOMIC_POSITIONS crystal
Ca 0.000 0.000 0.000
Mn 0.277 0.777 0.500
Re 0.513 0.513 0.000
Re 0.720 0.220 0.500
```

=====

Record 8
A relaxed structure of CaMnRe2, computed with PBE. Values from VASP.

Summary:
* formation energy from the elements: 0.574 eV per atom
* energy above the lowest structure with this stoichiometry: 36 kJ/mol of formula units
* energy: -33.8 eV per cell
* SG: Cm, No. 8

Structure (Quantum ESPRESSO input):
```
&SYSTEM
  ibrav = 0, nat = 4, ntyp = 3
/
ATOMIC_SPECIES
Ca 40.08 Ca.upf
Mn 54.94 Mn.upf
Re 186.21 Re.upf
CELL_PARAMETERS angstrom
4.686 -1.528 0.000
4.686 1.528 0.000
-1.443 0.000 5.214
ATOMIC_POSITIONS crystal
Ca 0.000 0.000 0.000
Mn 0.217 0.217 0.667
Re 0.505 0.505 0.503
Re 0.784 0.784 0.359
```